HgTe2, PBEsol geometry, DFT SCAN; energy above the most stable polymorph in this dataset = 0.000 eV/atom; calculated density = 8700 kg/m3; space group = Cmcm; total moment = 0.000 μB/atom; DFT total energy = -47.46 eV/atom; formation energy (no corrections) = 9 kJ per mole of atoms; calculated volume = 173.99 Å³/cell
1.0
3.9670 0.0000 0.0000
0.0000 4.3115 0.0000
0.0000 2.1557 10.1725
Te Hg
4 2
Direct
0.2500 0.7706 0.4589
0.2500 0.4428 0.1143
0.7500 0.2294 0.5411
0.7500 0.5572 0.8857
0.2500 0.1049 0.7902
0.7500 0.8951 0.2098